Material: NdBe2Os
Method: DFT, PBE-GGA
State: relaxed

```
data_NdBe2Os
_chemical_formula_sum 'Nd3 Be6 Os3'
_symmetry_space_group_name_H-M 'P 1'
_symmetry_Int_Tables_number 1
_cell_length_a 3.927
_cell_length_b 3.927
_cell_length_c 14.922
_cell_angle_alpha 90.00
_cell_angle_beta 90.00
_cell_angle_gamma 120.00
loop_
_symmetry_equiv_pos_as_xyz
'x,y,z'
loop_
_atom_site_label
_atom_site_type_symbol
_atom_site_fract_x
_atom_site_fract_y
_atom_site_fract_z
Nd1 Nd 0.000 0.000 0.000
Nd2 Nd 0.333 0.667 0.667
Nd3 Nd 0.667 0.333 0.333
Be1 Be 0.000 0.000 0.192
Be2 Be 0.000 0.000 0.808
Be3 Be 0.333 0.667 0.474
Be4 Be 0.333 0.667 0.859
Be5 Be 0.667 0.333 0.141
Be6 Be 0.667 0.333 0.526
Os1 Os 0.000 0.000 0.500
Os2 Os 0.333 0.667 0.167
Os3 Os 0.667 0.333 0.833
```

- M_tot: 0.00 μB/atom
- Energy of formation from the pure elements: -0.121 eV/atom
- VASP energy: -5.984 eV per atom


Material: La2Al3CdGa4
Method: DFT, PBE-GGA
State: relaxed

```
data_La2Al3CdGa4
_chemical_formula_sum 'La2 Al3 Cd1 Ga4'
_symmetry_space_group_name_H-M 'P 1'
_symmetry_Int_Tables_number 1
_cell_length_a 4.459
_cell_length_b 4.459
_cell_length_c 10.774
_cell_angle_alpha 90.00
_cell_angle_beta 90.00
_cell_angle_gamma 90.00
loop_
_symmetry_equiv_pos_as_xyz
'x,y,z'
loop_
_atom_site_label
_atom_site_type_symbol
_atom_site_fract_x
_atom_site_fract_y
_atom_site_fract_z
La1 La 0.000 0.500 0.242
La2 La 0.500 0.000 0.758
Al1 Al 0.000 0.500 0.874
Al2 Al 0.500 0.000 0.126
Al3 Al 0.500 0.500 0.500
Cd1 Cd 0.000 0.000 0.500
Ga1 Ga 0.000 0.000 0.000
Ga2 Ga 0.000 0.500 0.642
Ga3 Ga 0.500 0.000 0.358
Ga4 Ga 0.500 0.500 0.000
```

- M_tot: 0.00 μB/atom
- Energy of formation from the pure elements: -0.446 eV/atom
- VASP energy: -3.857 eV per atom


Material: AlV2Mo
Method: DFT, PBE-GGA
State: relaxed

```
data_AlV2Mo
_chemical_formula_sum 'Al1 V2 Mo1'
_symmetry_space_group_name_H-M 'P 1'
_symmetry_Int_Tables_number 1
_cell_length_a 3.156
_cell_length_b 3.156
_cell_length_c 5.854
_cell_angle_alpha 90.00
_cell_angle_beta 90.00
_cell_angle_gamma 90.00
loop_
_symmetry_equiv_pos_as_xyz
'x,y,z'
loop_
_atom_site_label
_atom_site_type_symbol
_atom_site_fract_x
_atom_site_fract_y
_atom_site_fract_z
Al1 Al 0.000 0.000 0.000
V1 V 0.500 0.500 0.261
V2 V 0.500 0.500 0.739
Mo1 Mo 0.000 0.000 0.500
```

- M_tot: 0.00 μB/atom
- Energy of formation from the pure elements: -0.167 eV/atom
- VASP energy: -8.370 eV per atom


Question: energy of formation from the pure elements of number 1 (NdBe2Os)?
Answer: -0.121 eV/atom


Question: Which value of energy of formation from the pure elements does entry 2 give?
Answer: -0.446 eV/atom


Question: Look up the M_tot of the third one.
Answer: 0.00 μB/atom


Question: What is the M_tot in the first record?
Answer: 0.00 μB/atom